(1)
Compound: LiYAu3
Source: Alexandria
Functional: PBE
Structure: optimized geometry

a b c (Å): 5.4786 5.4786 5.4786
angles (deg): 90.00 90.00 90.00
Closest atoms and distances in Å follow each position.
Element x y z (fractional)
Y: 0.0000 0.0000 0.0000  6 Au 2.74
Au: 0.0000 0.0000 0.5000  2 Y 2.74
Au: 0.5000 0.0000 0.0000  2 Y 2.74
Li: 0.5000 0.5000 0.5000  12 Au 3.87
Au: 0.0000 0.5000 0.0000  2 Y 2.74

Output
- total magnetization (μB/cell) = 0.00
- relative energy among the computed polymorphs (eV per atom) = 0.747
- space group = Pm-3m
- E_form (eV/atom) = 0.138



(2)
Compound: Sc2PbO4
Source: Alexandria
Functional: PBE
Structure: optimized geometry

a b c (Å): 6.6230 6.6230 6.6229
angles (deg): 120.01 120.00 90.00
Closest atoms and distances in Å follow each position.
Element x y z (fractional)
O: 0.4382 0.1461 0.2921  3 Sc 2.16, 1 Pb 2.37
Pb: 0.2500 0.7500 0.5000  4 O 2.37
O: 0.3961 0.6039 0.7921  3 Sc 2.16, 1 Pb 2.37
O: 0.8539 0.1461 0.7079  3 Sc 2.16, 1 Pb 2.37
O: 0.8539 0.5619 0.7079  3 Sc 2.16, 1 Pb 2.37
O: 0.3961 0.1881 0.7921  3 Sc 2.16, 1 Pb 2.37
Sc: 0.1250 0.3750 0.7500  6 O 2.16
O: 0.8118 0.6039 0.2079  3 Sc 2.16, 1 Pb 2.37
Pb: 0.0000 0.0000 0.0000  4 O 2.37
O: 0.8540 0.1461 0.2921  3 Sc 2.16, 1 Pb 2.37
Sc: 0.6250 0.8750 0.2500  6 O 2.16
Sc: 0.6250 0.3750 0.7500  6 O 2.16
O: 0.3960 0.6039 0.2079  3 Sc 2.16, 1 Pb 2.37
Sc: 0.6250 0.3750 0.2500  6 O 2.16

Output
- total magnetization (μB/cell) = 0.00
- space group = Fd-3m
- formation energy from raw total energies (meV/atom) = -2775.6



(3)
Compound: LaVN3
Source: Alexandria
Functional: PBE
Structure: optimized geometry

a b c (Å): 4.1277 5.8696 6.5961
angles (deg): 111.48 79.30 106.54
Closest atoms and distances in Å follow each position.
Element x y z (fractional)
N: 0.4675 0.2700 0.7882  1 N 1.32
N: 0.0907 0.8056 0.4107  2 V 1.95
V: 0.2903 0.9458 0.1779  4 N 1.77-1.95
La: 0.4814 0.7463 0.6327  6 N 2.54-2.73
N: 0.9841 0.8404 0.9659  1 N 1.33
V: 0.1613 0.1647 0.5762  4 N 1.77-1.95
La: 0.9703 0.3641 0.1214  6 N 2.54-2.73
N: 0.7828 0.2434 0.7270  1 N 1.32
N: 0.6688 0.8671 0.0271  1 N 1.33
N: 0.3609 0.3048 0.3434  2 V 1.95

Output
- total magnetization (μB/cell) = 0.00
- space group = P-1
- formation energy from raw total energies (meV/atom) = -955.0



(4)
Compound: Te2Ru
Source: Alexandria
Functional: PBE
Structure: optimized geometry

a b c (Å): 4.6204 4.6204 4.6204
angles (deg): 60.00 60.00 60.00
Closest atoms and distances in Å follow each position.
Element x y z (fractional)
Te: 0.7500 0.7500 0.7500  4 Ru 2.83
Te: 0.2500 0.2500 0.2500  4 Ru 2.83
Ru: 0.0000 0.0000 0.0000  8 Te 2.83

Output
- total magnetization (μB/cell) = 0.00
- space group = Fm-3m
- formation energy from raw total energies (meV/atom) = -54.5



(5)
Compound: TaVAsSe2
Source: Alexandria
Functional: PBE
Structure: optimized geometry

a b c (Å): 4.9678 4.9678 5.0527
angles (deg): 90.00 90.00 90.00
Closest atoms and distances in Å follow each position.
Element x y z (fractional)
Ta: 0.0000 0.0000 0.0000  4 Se 2.48, 2 As 2.53
Se: 0.0000 0.5000 0.0000  2 Ta 2.48
Se: 0.5000 0.0000 0.0000  2 Ta 2.48
As: 0.0000 0.0000 0.5000  2 Ta 2.53
V: 0.5000 0.5000 0.5000  4 As 3.51, 8 Se 3.54

Output
- total magnetization (μB/cell) = 0.12
- relative energy among the computed polymorphs (eV per atom) = 0.000
- space group = P4/mmm
- formation energy from raw total energies (meV/atom) = 651.0



(6)
Compound: Nd2TlPd
Source: Alexandria
Functional: PBE
Structure: optimized geometry

a b c (Å): 3.9895 3.9895 10.3232
angles (deg): 78.86 78.86 60.00
Closest atoms and distances in Å follow each position.
Element x y z (fractional)
Nd: 0.1092 0.1092 0.6725  3 Pd 2.88
Nd: 0.8908 0.8908 0.3275  3 Pd 2.88
Pd: 0.5000 0.5000 0.5000  6 Nd 2.88
Tl: 0.0000 0.0000 0.0000  2 Nd 3.30

Output
- total magnetization (μB/cell) = 0.00
- space group = R-3m
- E_form (eV/atom) = -0.208



(7)
Compound: ZnAg2PbS
Source: Alexandria
Functional: PBE
Structure: optimized geometry

a b c (Å): 4.9519 4.8167 4.9519
angles (deg): 90.00 90.00 90.00
Closest atoms and distances in Å follow each position.
Element x y z (fractional)
Ag: 0.0000 0.0000 0.5000  2 Zn 2.48
Zn: 0.0000 0.0000 0.0000  2 S 2.41, 4 Ag 2.48
S: 0.0000 0.5000 0.0000  2 Zn 2.41
Ag: 0.5000 0.0000 0.0000  2 Zn 2.48
Pb: 0.5000 0.5000 0.5000  8 Ag 3.45, 4 S 3.50

Output
- total magnetization (μB/cell) = 0.00
- space group = P4/mmm
- formation energy from raw total energies (meV/atom) = 315.1



(8)
Compound: SiAu2Cl
Source: Alexandria
Functional: PBE
Structure: optimized geometry

a b c (Å): 5.0333 5.0333 2.9139
angles (deg): 90.00 90.00 90.00
Closest atoms and distances in Å follow each position.
Element x y z (fractional)
Si: 0.0000 0.5000 0.5000  8 Au 2.91, 2 Si 2.91
Cl: 0.5000 0.0000 0.5000  8 Au 2.91, 2 Cl 2.91
Au: 0.5000 0.5000 0.0000  4 Cl 2.91, 4 Si 2.91, 2 Au 2.91
Au: 0.0000 0.0000 0.0000  4 Cl 2.91, 4 Si 2.91, 2 Au 2.91

Output
- total magnetization (μB/cell) = 0.00
- relative energy among the computed polymorphs (eV per atom) = 0.537
- space group = P4/mmm
- formation energy from raw total energies (meV/atom) = 459.1



(9)
Compound: La4Sm3S8
Source: Alexandria
Functional: PBE
Structure: optimized geometry

a b c (Å): 8.2117 8.1752 8.1752
angles (deg): 89.99 120.16 120.16
Closest atoms and distances in Å follow each position.
Element x y z (fractional)
Sm: 0.5000 0.5000 0.0000  6 S 2.89
La: 0.5000 0.0000 0.0000  6 S 2.93
Sm: 0.5000 0.0000 0.5000  6 S 2.89
S: 0.9926 0.7459 0.7459  1 Sm 2.85, 4 La 2.89-2.93
La: 0.0000 0.0000 0.0000  6 S 2.90-2.91
S: 0.5034 0.2550 0.2550  3 Sm 2.85-2.89, 2 La 2.91-2.93
S: 0.0074 0.2541 0.2541  1 Sm 2.85, 4 La 2.89-2.93
Sm: 0.5000 0.5000 0.5000  6 S 2.85
S: 0.5000 0.7467 0.2533  3 Sm 2.85-2.89, 3 La 2.89-2.93
S: 0.0000 0.2511 0.7489  2 Sm 2.89, 3 La 2.89-2.90
S: 0.5000 0.2533 0.7467  3 Sm 2.85-2.89, 3 La 2.89-2.93
S: 0.0000 0.7489 0.2511  2 Sm 2.89, 3 La 2.89-2.90
S: 0.4966 0.7450 0.7450  3 Sm 2.85-2.89, 2 La 2.91-2.93
La: 0.0000 0.0000 0.5000  6 S 2.89
La: 0.0000 0.5000 0.0000  6 S 2.89

Output
- total magnetization (μB/cell) = 0.00
- relative energy among the computed polymorphs (eV per atom) = 0.000
- space group = C2/m
- formation energy from raw total energies (meV/atom) = -2093.5



(10)
Compound: Mn3ZnS
Source: Alexandria
Functional: PBE
Structure: optimized geometry

a b c (Å): 4.1009 4.1009 4.1009
angles (deg): 90.00 90.00 90.00
Closest atoms and distances in Å follow each position.
Element x y z (fractional)
Mn: 0.5000 0.0000 0.0000  2 S 2.05
Zn: 0.5000 0.5000 0.5000  12 Mn 2.90
Mn: 0.0000 0.0000 0.5000  2 S 2.05
Mn: 0.0000 0.5000 0.0000  2 S 2.05
S: 0.0000 0.0000 0.0000  6 Mn 2.05

Output
- total magnetization (μB/cell) = 3.68
- relative energy among the computed polymorphs (eV per atom) = 0.000
- space group = Pm-3m
- formation energy from raw total energies (meV/atom) = 262.9



(11)
Compound: TaBeRu
Source: Alexandria
Functional: PBE
Structure: optimized geometry

a b c (Å): 4.8812 4.8813 3.0424
angles (deg): 71.84 71.84 36.32
Closest atoms and distances in Å follow each position.
Element x y z (fractional)
Ru: 0.3575 0.3575 0.6425  4 Be 2.40, 1 Ta 2.68
Ta: 0.6633 0.6633 0.3367  5 Ru 2.68-2.74, 5 Be 2.69-2.77
Be: 0.9792 0.9792 0.0208  4 Ru 2.40, 4 Ta 2.69

Output
- total magnetization (μB/cell) = 0.00
- relative energy among the computed polymorphs (eV per atom) = 0.242
- space group = I4mm
- E_form (eV/atom) = -0.253



(12)
Compound: CoSi2PW
Source: Alexandria
Functional: PBE
Structure: optimized geometry

a b c (Å): 4.7716 4.6003 4.7716
angles (deg): 90.00 90.00 90.00
Closest atoms and distances in Å follow each position.
Element x y z (fractional)
Si: 0.0000 0.0000 0.5000  2 W 2.39
P: 0.0000 0.5000 0.0000  2 W 2.30
W: 0.0000 0.0000 0.0000  2 P 2.30, 4 Si 2.39
Co: 0.5000 0.5000 0.5000  8 Si 3.31, 4 P 3.37
Si: 0.5000 0.0000 0.0000  2 W 2.39

Output
- total magnetization (μB/cell) = 2.13
- space group = P4/mmm
- formation energy from raw total energies (meV/atom) = 1078.2



(13)
Compound: Nd3CdPb3
Source: Alexandria
Functional: PBE
Structure: optimized geometry

a b c (Å): 4.7335 6.4820 15.1195
angles (deg): 82.32 80.99 68.58
Closest atoms and distances in Å follow each position.
Element x y z (fractional)
Nd: 0.3998 0.2773 0.9230  7 Pb 3.27-3.64
Pb: 0.0021 0.7701 0.2257  1 Cd 3.00, 1 Pb 3.21, 5 Nd 3.26-3.30
Pb: 0.1403 0.2624 0.4570  3 Cd 2.94-3.10, 1 Pb 3.24
Pb: 0.8597 0.7376 0.5430  3 Cd 2.94-3.10, 1 Pb 3.24
Pb: 0.8721 0.1808 0.0750  2 Pb 3.21-3.25, 5 Nd 3.27-3.30
Nd: 0.6002 0.7227 0.0770  7 Pb 3.27-3.64
Pb: 0.9979 0.2299 0.7743  1 Cd 3.00, 1 Pb 3.21, 5 Nd 3.26-3.30
Cd: 0.7753 0.0749 0.3744  4 Pb 2.94-3.10
Nd: 0.4834 0.6564 0.3769  6 Pb 3.30-3.49, 3 Cd 3.46-3.51
Nd: 0.7279 0.7697 0.7746  4 Pb 3.26-3.48, 2 Cd 3.33
Nd: 0.2721 0.2303 0.2254  4 Pb 3.26-3.48, 2 Cd 3.33
Cd: 0.2247 0.9251 0.6256  4 Pb 2.94-3.10
Pb: 0.1279 0.8192 0.9250  2 Pb 3.21-3.25, 5 Nd 3.27-3.30
Nd: 0.5166 0.3436 0.6231  6 Pb 3.30-3.49, 3 Cd 3.46-3.51

Output
- total magnetization (μB/cell) = 0.00
- relative energy among the computed polymorphs (eV per atom) = 0.000
- space group = C2/m
- E_form (eV/atom) = -0.479



(14)
Compound: NaZnPd2F8
Source: Alexandria
Functional: PBE
Structure: optimized geometry

a b c (Å): 6.1234 6.1234 6.1234
angles (deg): 111.46 111.46 105.57
Closest atoms and distances in Å follow each position.
Element x y z (fractional)
Pd: 0.5000 0.5000 0.0000  4 F 2.00
Pd: 0.7500 0.2500 0.5000  4 F 2.08
F: 0.2865 0.4642 0.1777  1 Pd 2.00, 1 Na 2.24
F: 0.9563 0.2510 0.2946  1 Zn 2.06, 1 Pd 2.08
Na: 0.2500 0.7500 0.5000  4 F 2.24
F: 0.9563 0.6617 0.7054  1 Zn 2.06, 1 Pd 2.08
F: 0.7490 0.0437 0.7054  1 Zn 2.06, 1 Pd 2.08
F: 0.2865 0.1088 0.8223  1 Pd 2.00, 1 Na 2.24
Zn: 0.0000 0.0000 0.0000  4 F 2.06
F: 0.5358 0.7135 0.8223  1 Pd 2.00, 1 Na 2.24
F: 0.8912 0.7135 0.1777  1 Pd 2.00, 1 Na 2.24
F: 0.3383 0.0437 0.2946  1 Zn 2.06, 1 Pd 2.08

Output
- total magnetization (μB/cell) = 3.55
- space group = I-4m2
- formation energy from raw total energies (meV/atom) = -1481.2



Calculated total energy, respectively: -3.504, -7.948, -8.759, -5.241, -5.867, -4.481, -2.647, -2.997, -6.553, -6.319, -8.538, -6.185, -4.242, -3.810 eV per atom.